Entry 1:
VASP calculation (PBE-GGA) on an optimized crystal structure of BaHoTm2.

Results
energy: -3.616 eV/atom
mass density: 7.60 Mg/m³
total magnetization: 0.12 μB per formula unit

Structure (POSCAR):
```
BaHoTm2
1.0
3.562 0.000 0.000
1.781 3.085 0.000
1.781 1.028 12.720
Tm Ho Ba
2 1 1
direct
0.094 0.094 0.718
0.906 0.906 0.282
0.500 0.500 0.500
0.000 0.000 0.000
```

Entry 2:
VASP calculation (PBE-GGA) on an optimized crystal structure of BaYHo2.

Results
energy: -4.153 eV/atom
mass density: 6.41 Mg/m³
total magnetization: 0.00 μB per formula unit

Structure (POSCAR):
```
BaYHo2
1.0
3.601 0.000 0.000
1.801 3.119 0.000
1.801 1.040 12.823
Y Ho Ba
1 2 1
direct
0.500 0.500 0.500
0.094 0.094 0.719
0.906 0.906 0.281
0.000 0.000 0.000
```

Entry 3:
VASP calculation (PBE-GGA) on an optimized crystal structure of Ba2I3.

Results
energy: -3.212 eV/atom
mass density: 4.04 Mg/m³
total magnetization: 0.00 μB per formula unit
energy above the lowest structure with this stoichiometry: 11 kJ/mol of formula units

Structure (POSCAR):
```
Ba2I3
1.0
9.218 -1.557 -2.547
-5.309 7.695 -2.547
0.215 0.338 8.317
Ba I
4 6
direct
0.333 0.592 0.096
0.496 0.237 0.904
0.487 0.246 0.404
0.842 0.083 0.596
0.736 0.656 0.336
0.320 0.400 0.664
0.650 0.070 0.164
0.906 0.486 0.836
0.114 0.114 0.000
0.364 0.864 0.500
```

Entry 4:
VASP calculation (PBE-GGA) on an optimized crystal structure of BaI.

Results
energy: -2.957 eV/atom
mass density: 3.67 Mg/m³
total magnetization: 0.55 μB per formula unit

Structure (POSCAR):
```
BaI
1.0
-5.602 -4.142 12.293
-3.311 -12.491 -5.717
4.252 -1.745 1.350
Ba I
8 8
direct
0.399 0.162 0.000
0.601 0.838 0.000
0.838 0.399 0.000
0.162 0.601 0.000
0.899 0.662 0.500
0.101 0.338 0.500
0.338 0.899 0.500
0.662 0.101 0.500
0.387 0.715 0.000
0.613 0.285 0.000
0.285 0.387 0.000
0.715 0.613 0.000
0.887 0.215 0.500
0.113 0.785 0.500
0.785 0.887 0.500
0.215 0.113 0.500
```

Entry 5:
VASP calculation (PBE-GGA) on an optimized crystal structure of BaI.

Results
energy: -2.946 eV/atom
mass density: 3.93 Mg/m³
total magnetization: 0.60 μB per formula unit

Structure (POSCAR):
```
BaI
1.0
-3.762 -1.402 2.805
-4.034 -2.593 -6.705
6.846 -15.004 1.684
Ba I
6 6
direct
0.000 0.719 0.794
0.500 0.281 0.706
0.500 0.281 0.294
0.000 0.719 0.206
0.000 0.654 0.500
0.500 0.346 0.000
0.000 0.992 0.632
0.500 0.008 0.868
0.500 0.008 0.132
0.000 0.992 0.368
0.000 0.642 0.000
0.500 0.358 0.500
```

Entry 6:
VASP calculation (PBE-GGA) on an optimized crystal structure of BaI.

Results
energy: -3.030 eV/atom
mass density: 4.94 Mg/m³
total magnetization: 0.00 μB per formula unit

Structure (POSCAR):
```
BaI
1.0
-0.032 0.679 -4.926
2.773 -3.614 1.993
-6.372 -5.268 -0.684
Ba I
2 2
direct
0.333 0.667 0.250
0.667 0.333 0.750
0.000 0.000 0.000
0.000 0.000 0.500
```

Entry 7:
VASP calculation (PBE-GGA) on an optimized crystal structure of BaI4.

Results
energy: -2.241 eV/atom
mass density: 3.40 Mg/m³
total magnetization: 2.10 μB per formula unit

Structure (POSCAR):
```
BaI4
1.0
-1.915 5.449 3.593
-3.943 -3.950 3.888
5.201 -0.988 4.271
I Ba
4 1
direct
0.000 0.000 0.000
0.500 0.000 0.500
0.000 0.500 0.500
0.500 0.500 0.000
0.500 0.500 0.500
```

Entry 8:
VASP calculation (PBE-GGA) on an optimized crystal structure of BaI.

Results
energy: -2.883 eV/atom
mass density: 4.01 Mg/m³
total magnetization: 0.41 μB per formula unit

Structure (POSCAR):
```
BaI
1.0
-2.013 -1.195 5.534
5.652 -1.375 -1.503
2.109 6.333 2.135
Ba I
2 2
direct
0.333 0.667 0.750
0.667 0.333 0.250
0.333 0.667 0.250
0.667 0.333 0.750
```

Entry 9:
VASP calculation (PBE-GGA) on an optimized crystal structure of Ba2I3.

Results
energy: -3.235 eV/atom
mass density: 4.25 Mg/m³
total magnetization: 0.00 μB per formula unit
energy above the lowest structure with this stoichiometry: 0 kJ/mol of formula units

Structure (POSCAR):
```
Ba2I3
1.0
-4.527 -1.940 1.084
-0.496 -3.268 3.808
-3.705 7.086 8.936
Ba I
2 3
direct
0.392 0.392 0.824
0.608 0.608 0.176
0.000 0.000 0.000
0.778 0.778 0.665
0.222 0.222 0.335
```

Entry 10:
VASP calculation (PBE-GGA) on an optimized crystal structure of BaI.

Results
energy: -2.728 eV/atom
mass density: 2.86 Mg/m³
total magnetization: 0.00 μB per formula unit

Structure (POSCAR):
```
BaI
1.0
10.711 0.000 0.000
0.000 10.711 0.000
0.000 0.000 10.711
Ba I
8 8
direct
0.316 0.316 0.316
0.316 0.684 0.684
0.684 0.316 0.684
0.684 0.684 0.316
0.816 0.816 0.816
0.816 0.184 0.184
0.184 0.816 0.184
0.184 0.184 0.816
0.137 0.137 0.137
0.137 0.863 0.863
0.863 0.137 0.863
0.863 0.863 0.137
0.637 0.637 0.637
0.637 0.363 0.363
0.363 0.637 0.363
0.363 0.363 0.637
```

Entry 11:
VASP calculation (PBE-GGA) on an optimized crystal structure of BaI.

Results
energy: -3.017 eV/atom
mass density: 5.06 Mg/m³
total magnetization: 0.00 μB per formula unit

Structure (POSCAR):
```
BaI
1.0
4.969 0.000 0.000
2.484 4.303 0.000
2.484 1.434 4.057
I Ba
1 1
direct
0.000 0.000 0.000
0.500 0.500 0.500
```

Entry 12:
VASP calculation (PBE-GGA) on an optimized crystal structure of BaI.

Results
energy: -3.025 eV/atom
mass density: 4.88 Mg/m³
total magnetization: 0.83 μB per formula unit

Structure (POSCAR):
```
BaI
1.0
4.547 0.000 0.000
-2.274 3.938 0.000
0.000 0.000 5.016
Ba I
1 1
direct
0.333 0.667 0.000
0.000 0.000 0.500
```